# Rb2BaReI6, optimized geometry, DFT GGA-PBE
# DOS(E_F) = 9.3 states/eV/f.u.
# Total magnetization = 4.000 μB/cell
# V = 45.1 Å³/atom
# Total energy = -3.356 eV per atom
data_Rb2BaReI6
_chemical_formula_sum 'Rb8 Ba4 Re4 I24'
_cell_length_a 12.1723
_cell_length_b 12.1723
_cell_length_c 12.1723
_cell_angle_alpha 90.00
_cell_angle_beta 90.00
_cell_angle_gamma 90.00
_symmetry_space_group_name_H-M 'F m -3 m'
_symmetry_Int_Tables_number 225
_symmetry_space_group_name_Hall '-F 4 2 3'
loop_
_atom_site_label
_atom_site_type_symbol
_atom_site_fract_x
_atom_site_fract_y
_atom_site_fract_z
Rb1 Rb 0.2500 0.2500 0.2500
Ba1 Ba 0.0000 0.0000 0.0000
Re1 Re 0.0000 0.0000 0.5000
I1 I 0.0000 0.0000 0.2745